# CeZrZnRu

An optimized crystal structure of CeZrZnRu (PBE, Alexandria via LeMat-Bulk).

Summary:
energy of formation from the pure elements	-219	meV per atom
total magnetization	0.29	μB per formula unit
crystal system	cubic
energy	-6.477	eV/atom

a b c (Å): 6.842 6.842 6.842
angles (deg): 90.00 90.00 90.00
Space group F-43m (No. 216)
Symmetry-distinct sites (fractional):
Ce (0.000, 0.000, 0.000) [4 per cell]
Zr (0.000, 0.000, 0.500) [4 per cell]
Zn (0.250, 0.250, 0.250) [4 per cell]
Ru (0.250, 0.250, 0.750) [4 per cell]

---

# SrNpO3

An optimized crystal structure of SrNpO3 (PBE, Alexandria via LeMat-Bulk).

Summary:
formation energy (no corrections)	-1438	kJ/mol of formula units
total magnetization	3.00	μB per formula unit
crystal system	monoclinic
energy	-8.881	eV/atom

a b c (Å): 10.538 6.114 10.538
angles (deg): 90.00 109.19 90.00
Space group C2/c (No. 15)
Symmetry-distinct sites (fractional):
Sr (0.135, 0.247, 0.135) [8 per cell]
Np (0.000, 0.251, 0.750) [4 per cell]
Np (0.250, 0.250, 0.500) [4 per cell]
O (0.071, 0.248, 0.571) [8 per cell]
O (0.156, 0.499, 0.343) [8 per cell]
O (0.157, 0.001, 0.845) [8 per cell]

---

# AcAl3ZnCu

An optimized crystal structure of AcAl3ZnCu (PBE, Alexandria via LeMat-Bulk).

Summary:
energy of formation from the pure elements	-111	meV per atom
total magnetization	0.00	μB per formula unit
crystal system	orthorhombic
energy	-3.562	eV/atom

a b c (Å): 6.317 12.970 6.071
angles (deg): 90.00 90.00 90.00
Space group Cmcm (No. 63)
Symmetry-distinct sites (fractional):
Ac (0.000, 0.219, 0.250) [4 per cell]
Al (0.000, 0.366, 0.750) [4 per cell]
Al (0.210, 0.000, 0.000) [8 per cell]
Zn (0.000, 0.145, 0.750) [4 per cell]
Cu (0.000, 0.442, 0.250) [4 per cell]

---

# TmPa4P6

An optimized crystal structure of TmPa4P6 (PBE, Alexandria via LeMat-Bulk).

Summary:
energy of formation from the pure elements	-1104	meV per atom
total magnetization	0.00	μB per formula unit
crystal system	trigonal
energy	-7.915	eV/atom

a b c (Å): 10.8813 10.8813 13.5386
angles (deg): 90.00 90.00 120.00
Space group R-3c (No. 167, hexagonal axes)
Symmetry-distinct sites (fractional):
Tm (0.0000, 0.0000, 0.0000) [6 per cell]
Pa (0.0000, 0.0000, 0.2500) [6 per cell]
Pa (0.0000, 0.3848, 0.2500) [18 per cell]
P (0.0294, 0.2092, 0.3850) [36 per cell]

---

# NbRu2Se2

An optimized crystal structure of NbRu2Se2 (PBE, Alexandria via LeMat-Bulk).

Summary:
formation energy (no corrections)	167	kJ/mol of formula units
total magnetization	0.00	μB per formula unit
crystal system	tetragonal
energy	-6.772	eV/atom
energy above the most stable polymorph in this dataset	21.58	kJ/mol of atoms

a b c (Å): 4.003 4.003 10.977
angles (deg): 90.00 90.00 90.00
Space group I4/mmm (No. 139)
Symmetry-distinct sites (fractional):
Nb (0.000, 0.000, 0.000) [2 per cell]
Ru (0.000, 0.500, 0.250) [4 per cell]
Se (0.000, 0.000, 0.374) [4 per cell]

---

# In2Cu2As

An optimized crystal structure of In2Cu2As (PBE, Alexandria via LeMat-Bulk).

Summary:
energy of formation from the pure elements	180	meV per atom
total magnetization	0.00	μB per formula unit
crystal system	tetragonal
energy	-3.484	eV/atom
energy above the most stable polymorph in this dataset	0.00	kJ/mol of atoms

a b c (Å): 7.652 7.652 3.198
angles (deg): 90.00 90.00 90.00
Space group P4/mbm (No. 127)
Symmetry-distinct sites (fractional):
In (0.177, 0.323, 0.000) [4 per cell]
Cu (0.119, 0.619, 0.500) [4 per cell]
As (0.000, 0.000, 0.500) [2 per cell]

---

Which of these has the highest total magnetization?
SrNpO3

---

What did the second record say?
# SrNpO3

An optimized crystal structure of SrNpO3 (PBE, Alexandria via LeMat-Bulk).

Summary:
formation energy (no corrections)	-1438	kJ/mol of formula units
total magnetization	3.00	μB per formula unit
crystal system	monoclinic
energy	-8.881	eV/atom

a b c (Å): 10.538 6.114 10.538
angles (deg): 90.00 109.19 90.00
Space group C2/c (No. 15)
Symmetry-distinct sites (fractional):
Sr (0.135, 0.247, 0.135) [8 per cell]
Np (0.000, 0.251, 0.750) [4 per cell]
Np (0.250, 0.250, 0.500) [4 per cell]
O (0.071, 0.248, 0.571) [8 per cell]
O (0.156, 0.499, 0.343) [8 per cell]
O (0.157, 0.001, 0.845) [8 per cell]

---

Repeat the sixth record exactly.
# In2Cu2As

An optimized crystal structure of In2Cu2As (PBE, Alexandria via LeMat-Bulk).

Summary:
energy of formation from the pure elements	180	meV per atom
total magnetization	0.00	μB per formula unit
crystal system	tetragonal
energy	-3.484	eV/atom
energy above the most stable polymorph in this dataset	0.00	kJ/mol of atoms

a b c (Å): 7.652 7.652 3.198
angles (deg): 90.00 90.00 90.00
Space group P4/mbm (No. 127)
Symmetry-distinct sites (fractional):
In (0.177, 0.323, 0.000) [4 per cell]
Cu (0.119, 0.619, 0.500) [4 per cell]
As (0.000, 0.000, 0.500) [2 per cell]